--- i ---
Compound: Nd5Er6
Source: the Alexandria database
Functional: PBE
Structure: optimized geometry

Values from the calculation:
Fermi-level density of states = 1.363 states/eV per atom
Spin magnetization = 0.000 μB/cell

Cell and atoms, written as POSCAR:
```
Nd5Er6
1.0
-2.796 4.071 8.056
2.796 -4.071 8.056
2.796 4.071 -8.056
Nd Er
5 6
direct
0.000 0.000 0.000
0.162 0.662 0.500
0.302 0.302 0.000
0.698 0.698 0.000
0.838 0.338 0.500
0.159 0.864 0.295
0.294 0.500 0.794
0.431 0.136 0.295
0.569 0.864 0.705
0.706 0.500 0.206
0.841 0.136 0.705
```

=====

--- ii ---
Compound: Nd5Er6
Source: the Alexandria database
Functional: PBE
Structure: optimized geometry

Values from the calculation:
Fermi-level density of states = 1.133 states/eV per atom
Spin magnetization = 0.000 μB/cell

Cell and atoms, written as POSCAR:
```
Nd5Er6
1.0
4.528 -6.595 0.000
4.528 6.595 0.000
-1.940 0.000 6.130
Nd Er
5 6
direct
0.000 0.000 0.000
0.131 0.869 0.500
0.262 0.738 0.000
0.738 0.262 0.000
0.869 0.131 0.500
0.198 0.452 0.325
0.339 0.339 0.806
0.452 0.198 0.325
0.548 0.802 0.675
0.661 0.661 0.194
0.802 0.548 0.675
```

=====

Energies, relative to the best one, in meV/atom: i 0; ii 22.

=====

--- i ---
Compound: NdErNi2
Source: the Alexandria database
Functional: PBE
Structure: optimized geometry

Values from the calculation:
Fermi-level density of states = 0.557 states/eV per atom
Spin magnetization = 0.000 μB/cell

Cell and atoms, written as POSCAR:
```
NdErNi2
1.0
2.000 1.155 6.343
-2.000 1.155 6.343
0.000 -2.309 6.343
Nd Er Ni
1 1 2
direct
0.000 0.000 0.000
0.500 0.500 0.500
0.244 0.244 0.244
0.756 0.756 0.756
```

=====

--- ii ---
Compound: NdErNi2
Source: the Alexandria database
Functional: PBE
Structure: optimized geometry

Values from the calculation:
Fermi-level density of states = 1.010 states/eV per atom
Spin magnetization = 0.000 μB/cell

Cell and atoms, written as POSCAR:
```
NdErNi2
1.0
3.419 0.000 0.000
0.000 3.419 0.000
0.000 0.000 6.830
Nd Er Ni
1 1 2
direct
0.000 0.000 0.000
0.000 0.000 0.500
0.500 0.500 0.272
0.500 0.500 0.728
```

=====

--- iii ---
Compound: NdErNi2
Source: the Alexandria database
Functional: PBE
Structure: optimized geometry

Values from the calculation:
Fermi-level density of states = 0.624 states/eV per atom
Spin magnetization = 0.000 μB/cell

Cell and atoms, written as POSCAR:
```
NdErNi2
1.0
4.256 0.000 0.000
0.000 1.891 5.146
0.000 -1.891 5.146
Nd Er Ni
1 1 2
direct
0.000 0.000 0.000
0.500 0.277 0.277
0.000 0.716 0.716
0.500 0.574 0.574
```

=====

Energies, relative to the best one, in meV/atom: i 200; ii 76; iii 0.